No. 1
## Rb2NbInCl6 (PBE)

Data for crystalline Rb2NbInCl6 at its relaxed geometry.

The uncorrected formation energy is -1.39 eV per atom. The value obtained for the magnetic moment is 0.200 μB per atom. For the calculated volume, the calculation gives 33.55 Å³ per atom. The density is 2.93 g/cm³.

a = 7.7993 Å, b = 7.7993 Å, c = 7.7993 Å
α = 60.00°, β = 60.00°, γ = 60.00°
Fractional coordinates of all 10 atoms:
Rb: 0.2500 0.2500 0.2500
Rb: 0.7500 0.7500 0.7500
Nb: 0.0000 0.0000 0.0000
In: 0.5000 0.5000 0.5000
Cl: 0.2270 0.2270 0.7730
Cl: 0.2270 0.7730 0.2270
Cl: 0.2270 0.7730 0.7730
Cl: 0.7730 0.2270 0.2270
Cl: 0.7730 0.2270 0.7730
Cl: 0.7730 0.7730 0.2270

No. 2
## NbRe2Rh (PBE)

Data for crystalline NbRe2Rh at its relaxed geometry.

As for the calculated formation energy: 0.231 eV/atom. The value obtained for the magnetic moment is 0.311 μB per atom. For the calculated volume, the calculation gives 15.72 Å³ per atom. The polymorph energy (0 for the lowest one) is 0.329 eV per atom. The density is 15.00 g/cm³.

a = 6.3128 Å, b = 6.3128 Å, c = 6.3128 Å
α = 90.00°, β = 90.00°, γ = 90.00°
Fractional coordinates of all 16 atoms:
Nb: 0.0000 0.0000 0.0000
Nb: 0.0000 0.5000 0.5000
Nb: 0.5000 0.0000 0.5000
Nb: 0.5000 0.5000 0.0000
Re: 0.2500 0.2500 0.2500
Re: 0.2500 0.2500 0.7500
Re: 0.2500 0.7500 0.2500
Re: 0.2500 0.7500 0.7500
Re: 0.7500 0.2500 0.2500
Re: 0.7500 0.2500 0.7500
Re: 0.7500 0.7500 0.2500
Re: 0.7500 0.7500 0.7500
Rh: 0.0000 0.0000 0.5000
Rh: 0.0000 0.5000 0.0000
Rh: 0.5000 0.0000 0.0000
Rh: 0.5000 0.5000 0.5000

No. 3
## Na2LiSnF8 (PBE)

Data for crystalline Na2LiSnF8 at its relaxed geometry.

The uncorrected formation energy is -2.46 eV per atom. The value obtained for the magnetic moment is 0.095 μB per atom. For the calculated volume, the calculation gives 13.52 Å³ per atom. The density is 3.31 g/cm³.

a = 4.8673 Å, b = 6.4950 Å, c = 5.1326 Å
α = 90.00°, β = 90.36°, γ = 90.00°
Fractional coordinates of all 12 atoms:
Na: 0.0000 0.2485 0.0000
Na: 0.0000 0.7515 0.0000
Li: 0.5000 0.0000 0.5000
Sn: 0.5000 0.5000 0.5000
F: 0.2677 0.5000 0.8206
F: 0.2688 0.2656 0.3659
F: 0.2688 0.7344 0.3659
F: 0.3365 0.0000 0.8768
F: 0.6635 0.0000 0.1232
F: 0.7312 0.2656 0.6341
F: 0.7312 0.7344 0.6341
F: 0.7323 0.5000 0.1794

No. 4
## BaAgICl2 (PBE)

Data for crystalline BaAgICl2 at its relaxed geometry.

The uncorrected formation energy is -1.52 eV per atom. The value obtained for the magnetic moment is 0.000 μB per atom. For the calculated volume, the calculation gives 32.15 Å³ per atom. The density is 4.58 g/cm³.

a = 7.6473 Å, b = 7.6473 Å, c = 9.4530 Å
α = 90.00°, β = 90.00°, γ = 144.45°
Fractional coordinates of all 10 atoms:
Ba: 0.2468 0.7532 0.7500
Ba: 0.7532 0.2468 0.2500
Ag: 0.0000 0.0000 0.0000
Ag: 0.0000 0.0000 0.5000
I: 0.4489 0.5511 0.2500
I: 0.5511 0.4489 0.7500
Cl: 0.1682 0.8318 0.0647
Cl: 0.1682 0.8318 0.4353
Cl: 0.8318 0.1682 0.5647
Cl: 0.8318 0.1682 0.9353

No. 5
## Sc2FeSb (PBE)

Data for crystalline Sc2FeSb at its relaxed geometry.

The uncorrected formation energy is -0.14 eV per atom. The value obtained for the magnetic moment is 0.348 μB per atom. For the calculated volume, the calculation gives 21.20 Å³ per atom. The density is 5.24 g/cm³.

a = 3.8099 Å, b = 3.8099 Å, c = 5.8424 Å
α = 90.00°, β = 90.00°, γ = 90.00°
Fractional coordinates of all 4 atoms:
Sc: 0.0000 0.0000 0.0000
Sc: 0.5000 0.5000 0.3067
Fe: 0.0000 0.0000 0.4714
Sb: 0.5000 0.5000 0.7943

No. 6
## Cs7HgCl2O2 (PBE)

Data for crystalline Cs7HgCl2O2 at its relaxed geometry.

The uncorrected formation energy is -1.11 eV per atom. The value obtained for the magnetic moment is 0.037 μB per atom. For the calculated volume, the calculation gives 47.39 Å³ per atom. The density is 3.60 g/cm³.

a = 13.2557 Å, b = 13.2557 Å, c = 13.2557 Å
α = 152.18°, β = 42.62°, γ = 148.36°
Fractional coordinates of all 12 atoms:
Cs: 0.0000 0.0000 0.0000
Cs: 0.0137 0.4001 0.6136
Cs: 0.1512 0.9365 0.2147
Cs: 0.3770 0.4820 0.8949
Cs: 0.5871 0.4820 0.1051
Cs: 0.7218 0.9365 0.7853
Cs: 0.7865 0.4001 0.3864
Hg: 0.3915 0.8915 0.5000
Cl: 0.1880 0.4307 0.7574
Cl: 0.6733 0.4307 0.2426
O: 0.7387 0.8434 0.8953
O: 0.9480 0.8434 0.1047

No. 7
## KAg4Te4 (PBE)

Data for crystalline KAg4Te4 at its relaxed geometry.

The uncorrected formation energy is -0.18 eV per atom. The value obtained for the magnetic moment is 0.000 μB per atom. For the calculated volume, the calculation gives 29.99 Å³ per atom. The density is 6.03 g/cm³.

a = 9.4913 Å, b = 9.4913 Å, c = 5.9932 Å
α = 90.00°, β = 90.00°, γ = 90.00°
Fractional coordinates of all 18 atoms:
K: 0.2500 0.2500 0.2500
K: 0.7500 0.7500 0.7500
Ag: 0.0842 0.5941 0.1471
Ag: 0.0941 0.9158 0.6471
Ag: 0.4059 0.5842 0.6471
Ag: 0.4158 0.9059 0.1471
Ag: 0.5842 0.0941 0.8529
Ag: 0.5941 0.4158 0.3529
Ag: 0.9059 0.0842 0.3529
Ag: 0.9158 0.4059 0.8529
Te: 0.1030 0.6047 0.6512
Te: 0.1047 0.8970 0.1512
Te: 0.3953 0.6030 0.1512
Te: 0.3970 0.8953 0.6512
Te: 0.6030 0.1047 0.3488
Te: 0.6047 0.3970 0.8488
Te: 0.8953 0.1030 0.8488
Te: 0.8970 0.3953 0.3488

No. 8
## PdSe2I (PBE)

Data for crystalline PdSe2I at its relaxed geometry.

The uncorrected formation energy is -0.13 eV per atom. The value obtained for the magnetic moment is 0.000 μB per atom. For the calculated volume, the calculation gives 24.31 Å³ per atom. The polymorph energy (0 for the lowest one) is 0.055 eV per atom. The density is 6.68 g/cm³.

a = 6.8251 Å, b = 3.8680 Å, c = 8.0565 Å
α = 90.00°, β = 113.90°, γ = 90.00°
Fractional coordinates of all 8 atoms:
Pd: 0.0000 0.0000 0.0000
Pd: 0.5000 0.5000 0.0000
Se: 0.2425 0.0000 0.8322
Se: 0.2575 0.5000 0.1678
Se: 0.7425 0.5000 0.8322
Se: 0.7575 0.0000 0.1678
I: 0.0000 0.5000 0.5000
I: 0.5000 0.0000 0.5000

No. 9
## HoCd6Ag3 (PBE)

Data for crystalline HoCd6Ag3 at its relaxed geometry.

As for the calculated formation energy: -0.023 eV/atom. The value obtained for the magnetic moment is 0.000 μB per atom. For the calculated volume, the calculation gives 22.41 Å³ per atom. The density is 8.62 g/cm³.

a = 8.0724 Å, b = 8.0724 Å, c = 6.8977 Å
α = 90.00°, β = 90.00°, γ = 94.17°
Fractional coordinates of all 20 atoms:
Ho: 0.2280 0.7720 0.5000
Ho: 0.7720 0.2280 0.0000
Cd: 0.0749 0.4653 0.7991
Cd: 0.1800 0.2444 0.4737
Cd: 0.1964 0.8036 0.9833
Cd: 0.2444 0.1800 0.9737
Cd: 0.4384 0.5616 0.8245
Cd: 0.4653 0.0749 0.2991
Cd: 0.5347 0.9251 0.7991
Cd: 0.5616 0.4384 0.3245
Cd: 0.7556 0.8200 0.4737
Cd: 0.8036 0.1964 0.4833
Cd: 0.8200 0.7556 0.9737
Cd: 0.9251 0.5347 0.2991
Ag: 0.0055 0.9945 0.2362
Ag: 0.2446 0.4915 0.1828
Ag: 0.4915 0.2446 0.6828
Ag: 0.5085 0.7554 0.1828
Ag: 0.7554 0.5085 0.6828
Ag: 0.9945 0.0055 0.7362

No. 10
## Hf2CrGeC (PBE)

Data for crystalline Hf2CrGeC at its relaxed geometry.

As for the calculated formation energy: 0.647 eV/atom. The value obtained for the magnetic moment is 0.000 μB per atom. For the calculated volume, the calculation gives 17.55 Å³ per atom. The density is 9.34 g/cm³.

a = 4.8676 Å, b = 4.8676 Å, c = 3.7045 Å
α = 90.00°, β = 90.00°, γ = 90.00°
Fractional coordinates of all 5 atoms:
Hf: 0.0000 0.5000 0.0000
Hf: 0.5000 0.0000 0.0000
Cr: 0.0000 0.0000 0.0000
Ge: 0.5000 0.5000 0.5000
C: 0.0000 0.0000 0.5000

No. 11
## Al2InFe2 (PBE)

Data for crystalline Al2InFe2 at its relaxed geometry.

As for the calculated formation energy: 0.017 eV/atom. The value obtained for the magnetic moment is 0.478 μB per atom. For the calculated volume, the calculation gives 14.40 Å³ per atom. The polymorph energy (0 for the lowest one) is 0.035 eV per atom. The density is 6.47 g/cm³.

a = 7.2012 Å, b = 7.2012 Å, c = 2.7763 Å
α = 90.00°, β = 90.00°, γ = 90.00°
Fractional coordinates of all 10 atoms:
Al: 0.1284 0.3716 0.0000
Al: 0.3716 0.8716 0.0000
Al: 0.6284 0.1284 0.0000
Al: 0.8716 0.6284 0.0000
In: 0.0000 0.0000 0.0000
In: 0.5000 0.5000 0.0000
Fe: 0.1654 0.6654 0.5000
Fe: 0.3346 0.1654 0.5000
Fe: 0.6654 0.8346 0.5000
Fe: 0.8346 0.3346 0.5000

No. 12
## CaMoSe (PBE)

Data for crystalline CaMoSe at its relaxed geometry.

The uncorrected formation energy is 0.80 eV per atom. The value obtained for the magnetic moment is 1.827 μB per atom. For the calculated volume, the calculation gives 29.51 Å³ per atom. The polymorph energy (0 for the lowest one) is 1.040 eV per atom. The density is 4.03 g/cm³.

a = 7.0751 Å, b = 7.0751 Å, c = 7.0751 Å
α = 90.00°, β = 90.00°, γ = 90.00°
Fractional coordinates of all 12 atoms:
Ca: 0.0000 0.0000 0.0000
Ca: 0.0000 0.5000 0.5000
Ca: 0.5000 0.0000 0.5000
Ca: 0.5000 0.5000 0.0000
Mo: 0.2500 0.2500 0.2500
Mo: 0.2500 0.7500 0.7500
Mo: 0.7500 0.2500 0.7500
Mo: 0.7500 0.7500 0.2500
Se: 0.2500 0.2500 0.7500
Se: 0.2500 0.7500 0.2500
Se: 0.7500 0.2500 0.2500
Se: 0.7500 0.7500 0.7500

No. 13
## Li2TbUSe4 (PBE)

Data for crystalline Li2TbUSe4 at its relaxed geometry.

The uncorrected formation energy is -1.42 eV per atom. The value obtained for the magnetic moment is 0.374 μB per atom. For the calculated volume, the calculation gives 23.44 Å³ per atom. The density is 6.44 g/cm³.

a = 6.9492 Å, b = 4.0622 Å, c = 7.0577 Å
α = 90.00°, β = 109.76°, γ = 90.00°
Fractional coordinates of all 8 atoms:
Li: 0.0000 0.0000 0.0000
Li: 0.0000 0.5000 0.5000
Tb: 0.5000 0.0000 0.5000
U: 0.5000 0.5000 0.0000
Se: 0.2420 0.0000 0.7465
Se: 0.2434 0.5000 0.2479
Se: 0.7566 0.5000 0.7521
Se: 0.7580 0.0000 0.2535

No. 14
## Cr2C (PBE)

Data for crystalline Cr2C at its relaxed geometry.

As for the calculated formation energy: 0.301 eV/atom. The value obtained for the magnetic moment is 0.000 μB per atom. For the calculated volume, the calculation gives 9.36 Å³ per atom. The density is 6.86 g/cm³.

a = 2.5462 Å, b = 2.5462 Å, c = 8.6658 Å
α = 90.00°, β = 90.00°, γ = 90.00°
Fractional coordinates of all 6 atoms:
Cr: 0.0000 0.0000 0.1312
Cr: 0.0000 0.0000 0.8688
Cr: 0.5000 0.5000 0.3688
Cr: 0.5000 0.5000 0.6312
C: 0.0000 0.0000 0.5000
C: 0.5000 0.5000 0.0000

No. 15
## Ga2BiAs (PBE)

Data for crystalline Ga2BiAs at its relaxed geometry.

As for the calculated formation energy: 0.054 eV/atom. The value obtained for the magnetic moment is 0.000 μB per atom. For the calculated volume, the calculation gives 27.12 Å³ per atom. The polymorph energy (0 for the lowest one) is 0.194 eV per atom. The density is 6.48 g/cm³.

a = 3.7749 Å, b = 3.7749 Å, c = 26.3676 Å
α = 90.00°, β = 90.00°, γ = 120.00°
Fractional coordinates of all 12 atoms:
Ga: 0.0000 0.0000 0.1121
Ga: 0.0000 0.0000 0.8879
Ga: 0.3333 0.6667 0.5545
Ga: 0.3333 0.6667 0.7788
Ga: 0.6667 0.3333 0.2212
Ga: 0.6667 0.3333 0.4455
Bi: 0.0000 0.0000 0.0000
Bi: 0.3333 0.6667 0.6667
Bi: 0.6667 0.3333 0.3333
As: 0.0000 0.0000 0.5000
As: 0.3333 0.6667 0.1667
As: 0.6667 0.3333 0.8333

No. 16
## LiScAg2 (PBE)

Data for crystalline LiScAg2 at its relaxed geometry.

As for the calculated formation energy: -0.173 eV/atom. The value obtained for the magnetic moment is 0.000 μB per atom. For the calculated volume, the calculation gives 18.73 Å³ per atom. The density is 5.93 g/cm³.

a = 3.0780 Å, b = 4.8702 Å, c = 4.9968 Å
α = 90.00°, β = 90.00°, γ = 90.00°
Fractional coordinates of all 4 atoms:
Li: 0.0000 0.0000 0.0000
Sc: 0.0000 0.5000 0.5934
Ag: 0.5000 0.0000 0.4727
Ag: 0.5000 0.5000 0.0936

No. 17
## LaGaSe (PBE)

Data for crystalline LaGaSe at its relaxed geometry.

The uncorrected formation energy is -1.20 eV per atom. The value obtained for the magnetic moment is 0.000 μB per atom. For the calculated volume, the calculation gives 26.35 Å³ per atom. The density is 6.04 g/cm³.

a = 5.9366 Å, b = 5.9366 Å, c = 8.9709 Å
α = 90.00°, β = 90.07°, γ = 90.00°
Fractional coordinates of all 12 atoms:
La: 0.2503 0.0000 0.1953
La: 0.2497 0.5000 0.8047
La: 0.7497 0.0000 0.8047
La: 0.7503 0.5000 0.1953
Ga: 0.0000 0.2493 0.5000
Ga: 0.0000 0.7507 0.5000
Ga: 0.5000 0.2507 0.5000
Ga: 0.5000 0.7493 0.5000
Se: 0.2498 0.0000 0.8501
Se: 0.2502 0.5000 0.1499
Se: 0.7502 0.0000 0.1499
Se: 0.7498 0.5000 0.8501

No. 18
## Cd2POs (PBE)

Data for crystalline Cd2POs at its relaxed geometry.

As for the calculated formation energy: 0.647 eV/atom. The value obtained for the magnetic moment is 0.000 μB per atom. For the calculated volume, the calculation gives 21.67 Å³ per atom. The polymorph energy (0 for the lowest one) is 0.589 eV per atom. The density is 8.54 g/cm³.

a = 8.8440 Å, b = 8.8440 Å, c = 4.4335 Å
α = 90.00°, β = 90.00°, γ = 90.00°
Fractional coordinates of all 16 atoms:
Cd: 0.1463 0.2500 0.1250
Cd: 0.2500 0.6463 0.3750
Cd: 0.2500 0.8537 0.8750
Cd: 0.3537 0.2500 0.6250
Cd: 0.6463 0.7500 0.6250
Cd: 0.7500 0.1463 0.8750
Cd: 0.7500 0.3537 0.3750
Cd: 0.8537 0.7500 0.1250
P: 0.0000 0.0000 0.0000
P: 0.0000 0.5000 0.2500
P: 0.5000 0.0000 0.7500
P: 0.5000 0.5000 0.5000
Os: 0.0000 0.0000 0.5000
Os: 0.0000 0.5000 0.7500
Os: 0.5000 0.0000 0.2500
Os: 0.5000 0.5000 0.0000

No. 19
## Tc2C (PBE)

Data for crystalline Tc2C at its relaxed geometry.

As for the calculated formation energy: 1.772 eV/atom. The value obtained for the magnetic moment is 0.117 μB per atom. For the calculated volume, the calculation gives 17.24 Å³ per atom. The polymorph energy (0 for the lowest one) is 1.697 eV per atom. The density is 6.68 g/cm³.

a = 5.2503 Å, b = 5.2503 Å, c = 8.6654 Å
α = 90.00°, β = 90.00°, γ = 120.00°
Fractional coordinates of all 12 atoms:
Tc: 0.0000 0.0000 0.0000
Tc: 0.0000 0.0000 0.5000
Tc: 0.1659 0.3317 0.2500
Tc: 0.1659 0.8341 0.2500
Tc: 0.3317 0.1659 0.7500
Tc: 0.6683 0.8341 0.2500
Tc: 0.8341 0.1659 0.7500
Tc: 0.8341 0.6683 0.7500
C: 0.3333 0.6667 0.0960
C: 0.3333 0.6667 0.4040
C: 0.6667 0.3333 0.5960
C: 0.6667 0.3333 0.9040

No. 20
## RbPd2S2 (PBE)

Data for crystalline RbPd2S2 at its relaxed geometry.

The uncorrected formation energy is -0.44 eV per atom. The value obtained for the magnetic moment is 0.000 μB per atom. For the calculated volume, the calculation gives 22.94 Å³ per atom. The polymorph energy (0 for the lowest one) is 0.052 eV per atom. The density is 5.25 g/cm³.

a = 4.3140 Å, b = 4.3140 Å, c = 12.3276 Å
α = 90.00°, β = 90.00°, γ = 90.00°
Fractional coordinates of all 10 atoms:
Rb: 0.0000 0.0000 0.0000
Rb: 0.5000 0.5000 0.5000
Pd: 0.0000 0.5000 0.2500
Pd: 0.0000 0.5000 0.7500
Pd: 0.5000 0.0000 0.2500
Pd: 0.5000 0.0000 0.7500
S: 0.0000 0.0000 0.3433
S: 0.0000 0.0000 0.6567
S: 0.5000 0.5000 0.1567
S: 0.5000 0.5000 0.8433